1.
# NaSr2Si3Au12

An optimized crystal structure of NaSr2Si3Au12 (PBE, Alexandria via LeMat-Bulk).

Computed properties:
total magnetization: 0.00 μB per cell
space group: R-3m
raw formation energy: -0.133 eV/atom

Cell and atoms, written as POSCAR:
```
NaSr2Si3Au12
1.0
4.624 2.670 5.629
-4.624 2.670 5.629
0.000 -5.340 5.629
Na Sr Si Au
1 2 3 12
Direct
0.000 0.000 0.000 Na
0.393 0.393 0.393 Sr
0.607 0.607 0.607 Sr
0.000 0.000 0.500 Si
0.000 0.500 0.000 Si
0.500 0.000 0.000 Si
0.144 0.692 0.692 Au
0.146 0.146 0.637 Au
0.146 0.637 0.146 Au
0.308 0.308 0.856 Au
0.308 0.856 0.308 Au
0.363 0.854 0.854 Au
0.637 0.146 0.146 Au
0.692 0.144 0.692 Au
0.692 0.692 0.144 Au
0.854 0.363 0.854 Au
0.854 0.854 0.363 Au
0.856 0.308 0.308 Au
```

2.
# NaSrSi2Au5

An optimized crystal structure of NaSrSi2Au5 (PBE, Alexandria via LeMat-Bulk).

Computed properties:
total magnetization: 0.00 μB per cell
space group: P4/mmm
raw formation energy: -0.314 eV/atom

Cell and atoms, written as POSCAR:
```
NaSrSi2Au5
1.0
4.695 0.000 0.000
0.000 4.695 0.000
0.000 0.000 9.979
Na Sr Si Au
1 1 2 5
Direct
0.000 0.000 0.000 Na
0.000 0.000 0.500 Sr
0.500 0.500 0.258 Si
0.500 0.500 0.742 Si
0.000 0.500 0.203 Au
0.000 0.500 0.797 Au
0.500 0.000 0.203 Au
0.500 0.000 0.797 Au
0.500 0.500 0.500 Au
```

3.
# NaTbSi2Au5

An optimized crystal structure of NaTbSi2Au5 (PBE, Alexandria via LeMat-Bulk).

Computed properties:
total magnetization: 0.00 μB per cell
space group: P4/mmm
raw formation energy: -0.317 eV/atom

Cell and atoms, written as POSCAR:
```
NaTbSi2Au5
1.0
4.733 0.000 0.000
0.000 4.733 0.000
0.000 0.000 9.676
Na Tb Si Au
1 1 2 5
Direct
0.000 0.000 0.000 Na
0.000 0.000 0.500 Tb
0.500 0.500 0.248 Si
0.500 0.500 0.752 Si
0.000 0.500 0.313 Au
0.000 0.500 0.687 Au
0.500 0.000 0.313 Au
0.500 0.000 0.687 Au
0.500 0.500 0.000 Au
```

4.
# NaSi2Te6Au

An optimized crystal structure of NaSi2Te6Au (PBE, Alexandria via LeMat-Bulk).

Computed properties:
total magnetization: 0.00 μB per cell
space group: C2/c
raw formation energy: -0.102 eV/atom

Cell and atoms, written as POSCAR:
```
NaSi2Te6Au
1.0
7.708 -6.535 0.000
7.708 6.535 0.000
-2.045 0.000 6.603
Na Si Te Au
2 4 12 2
Direct
0.140 0.860 0.750 Na
0.860 0.140 0.250 Na
0.224 0.366 0.797 Si
0.366 0.224 0.297 Si
0.634 0.776 0.703 Si
0.776 0.634 0.203 Si
0.050 0.203 0.706 Te
0.104 0.604 0.950 Te
0.203 0.050 0.206 Te
0.285 0.451 0.513 Te
0.396 0.896 0.550 Te
0.451 0.285 0.013 Te
0.549 0.715 0.987 Te
0.604 0.104 0.450 Te
0.715 0.549 0.487 Te
0.797 0.950 0.794 Te
0.896 0.396 0.050 Te
0.950 0.797 0.294 Te
0.289 0.711 0.250 Au
0.711 0.289 0.750 Au
```

5.
# Na2SiTe4Au

An optimized crystal structure of Na2SiTe4Au (PBE, Alexandria via LeMat-Bulk).

Computed properties:
total magnetization: 0.00 μB per cell
space group: Pmn2_1
raw formation energy: -0.354 eV/atom

Cell and atoms, written as POSCAR:
```
Na2SiTe4Au
1.0
8.312 0.000 0.000
0.000 7.673 0.000
0.000 0.000 8.027
Na Si Te Au
4 2 8 2
Direct
0.243 0.185 0.000 Na
0.257 0.815 0.500 Na
0.743 0.815 0.500 Na
0.757 0.185 0.000 Na
0.000 0.795 0.103 Si
0.500 0.205 0.603 Si
0.000 0.059 0.286 Te
0.000 0.880 0.792 Te
0.231 0.585 0.166 Te
0.269 0.415 0.666 Te
0.500 0.120 0.292 Te
0.500 0.941 0.786 Te
0.731 0.415 0.666 Te
0.769 0.585 0.166 Te
0.000 0.220 0.696 Au
0.500 0.780 0.196 Au
```

6.
# NaTlSiAu2

An optimized crystal structure of NaTlSiAu2 (PBE, Alexandria via LeMat-Bulk).

Computed properties:
total magnetization: 0.00 μB per cell
space group: P4/mmm
raw formation energy: 0.012 eV/atom

Cell and atoms, written as POSCAR:
```
NaTlSiAu2
1.0
4.827 0.000 0.000
0.000 4.827 0.000
0.000 0.000 5.493
Na Tl Si Au
1 1 1 2
Direct
0.000 0.000 0.000 Na
0.500 0.500 0.000 Tl
0.500 0.500 0.500 Si
0.000 0.500 0.500 Au
0.500 0.000 0.500 Au
```

7.
# NaTmSi2Au5

An optimized crystal structure of NaTmSi2Au5 (PBE, Alexandria via LeMat-Bulk).

Computed properties:
total magnetization: 0.00 μB per cell
space group: P4/mmm
raw formation energy: -0.315 eV/atom

Cell and atoms, written as POSCAR:
```
NaTmSi2Au5
1.0
4.707 0.000 0.000
0.000 4.707 0.000
0.000 0.000 9.648
Na Tm Si Au
1 1 2 5
Direct
0.000 0.000 0.000 Na
0.000 0.000 0.500 Tm
0.500 0.500 0.248 Si
0.500 0.500 0.752 Si
0.000 0.500 0.319 Au
0.000 0.500 0.681 Au
0.500 0.000 0.319 Au
0.500 0.000 0.681 Au
0.500 0.500 0.000 Au
```

8.
# NaZnSiAu6

An optimized crystal structure of NaZnSiAu6 (PBE, Alexandria via LeMat-Bulk).

Computed properties:
total magnetization: 0.00 μB per cell
space group: Imma
raw formation energy: -0.077 eV/atom

Cell and atoms, written as POSCAR:
```
NaZnSiAu6
1.0
-3.535 4.534 5.504
3.535 -4.534 5.504
3.535 4.534 -5.504
Na Zn Si Au
2 2 2 12
Direct
0.462 0.212 0.250 Na
0.538 0.788 0.750 Na
0.000 0.000 0.500 Zn
0.000 0.500 0.000 Zn
0.000 0.000 0.000 Si
0.500 0.000 0.500 Si
0.132 0.428 0.303 Au
0.132 0.829 0.704 Au
0.176 0.926 0.250 Au
0.258 0.508 0.750 Au
0.375 0.171 0.803 Au
0.375 0.572 0.204 Au
0.625 0.428 0.796 Au
0.625 0.829 0.197 Au
0.742 0.492 0.250 Au
0.824 0.074 0.750 Au
0.868 0.171 0.296 Au
0.868 0.572 0.697 Au
```

9.
# NaZn2SiAu5

An optimized crystal structure of NaZn2SiAu5 (PBE, Alexandria via LeMat-Bulk).

Computed properties:
total magnetization: 0.00 μB per cell
space group: Immm
raw formation energy: -0.098 eV/atom

Cell and atoms, written as POSCAR:
```
NaZn2SiAu5
1.0
-2.392 2.823 6.935
2.392 -2.823 6.935
2.392 2.823 -6.935
Na Zn Si Au
1 2 1 5
Direct
0.000 0.000 0.000 Na
0.310 0.810 0.500 Zn
0.690 0.190 0.500 Zn
0.500 0.500 0.000 Si
0.094 0.350 0.744 Au
0.395 0.650 0.744 Au
0.500 0.000 0.500 Au
0.605 0.350 0.256 Au
0.906 0.650 0.256 Au
```

10.
# NaZrSiAu2

An optimized crystal structure of NaZrSiAu2 (PBE, Alexandria via LeMat-Bulk).

Computed properties:
total magnetization: 0.00 μB per cell
space group: P4/mmm
raw formation energy: 1.105 eV/atom

Cell and atoms, written as POSCAR:
```
NaZrSiAu2
1.0
4.658 0.000 0.000
0.000 4.658 0.000
0.000 0.000 5.225
Na Zr Si Au
1 1 1 2
Direct
0.000 0.000 0.000 Na
0.000 0.000 0.500 Zr
0.500 0.500 0.500 Si
0.000 0.500 0.000 Au
0.500 0.000 0.000 Au
```

11.
# NaSmAu

An optimized crystal structure of NaSmAu (PBE, Alexandria via LeMat-Bulk).

Computed properties:
total magnetization: 0.00 μB per cell
space group: C2/m
excess energy over the best structure of this formula in the dataset: 0.00 eV per formula unit
formation energy: -386 meV/atom

Cell and atoms, written as POSCAR:
```
NaSmAu
1.0
3.067 -2.953 0.000
3.067 2.953 0.000
-3.042 0.000 9.124
Na Sm Au
2 2 2
Direct
0.239 0.239 0.000 Na
0.761 0.761 0.000 Na
0.316 0.316 0.635 Sm
0.684 0.684 0.365 Sm
0.151 0.151 0.301 Au
0.849 0.849 0.699 Au
```

12.
# NaSm2Au4

An optimized crystal structure of NaSm2Au4 (PBE, Alexandria via LeMat-Bulk).

Computed properties:
total magnetization: 0.00 μB per cell
space group: R-3m
formation energy: -536 meV/atom

Cell and atoms, written as POSCAR:
```
NaSm2Au4
1.0
2.488 1.436 8.148
-2.488 1.436 8.148
0.000 -2.873 8.148
Na Sm Au
1 2 4
Direct
0.000 0.000 0.000 Na
0.246 0.246 0.246 Sm
0.754 0.754 0.754 Sm
0.124 0.124 0.124 Au
0.374 0.374 0.374 Au
0.626 0.626 0.626 Au
0.876 0.876 0.876 Au
```

13.
# Na2SmAu9

An optimized crystal structure of Na2SmAu9 (PBE, Alexandria via LeMat-Bulk).

Computed properties:
total magnetization: 0.00 μB per cell
space group: R-3m
formation energy: -361 meV/atom

Cell and atoms, written as POSCAR:
```
Na2SmAu9
1.0
2.778 1.604 9.443
-2.778 1.604 9.443
0.000 -3.207 9.443
Na Sm Au
2 1 9
Direct
0.146 0.146 0.146 Na
0.854 0.854 0.854 Na
0.000 0.000 0.000 Sm
0.083 0.585 0.585 Au
0.332 0.332 0.332 Au
0.415 0.415 0.917 Au
0.415 0.917 0.415 Au
0.500 0.500 0.500 Au
0.585 0.083 0.585 Au
0.585 0.585 0.083 Au
0.668 0.668 0.668 Au
0.917 0.415 0.415 Au
```

14.
# Na3SmAu4

An optimized crystal structure of Na3SmAu4 (PBE, Alexandria via LeMat-Bulk).

Computed properties:
total magnetization: 0.00 μB per cell
space group: R-3m
formation energy: -457 meV/atom

Cell and atoms, written as POSCAR:
```
Na3SmAu4
1.0
2.524 1.457 8.264
-2.524 1.457 8.264
0.000 -2.915 8.264
Na Sm Au
3 1 4
Direct
0.000 0.000 0.000 Na
0.256 0.256 0.256 Na
0.744 0.744 0.744 Na
0.500 0.500 0.500 Sm
0.128 0.128 0.128 Au
0.380 0.380 0.380 Au
0.620 0.620 0.620 Au
0.872 0.872 0.872 Au
```

15.
# NaSmAu3

An optimized crystal structure of NaSmAu3 (PBE, Alexandria via LeMat-Bulk).

Computed properties:
total magnetization: 0.00 μB per cell
space group: P2_1/m
formation energy: -382 meV/atom

Cell and atoms, written as POSCAR:
```
NaSmAu3
1.0
5.035 0.000 0.000
0.000 7.294 0.000
-0.274 0.000 7.392
Na Sm Au
2 2 6
Direct
0.206 0.250 0.300 Na
0.794 0.750 0.700 Na
0.240 0.250 0.790 Sm
0.760 0.750 0.210 Sm
0.253 0.560 0.054 Au
0.253 0.940 0.054 Au
0.269 0.750 0.437 Au
0.731 0.250 0.563 Au
0.747 0.060 0.946 Au
0.747 0.440 0.946 Au
```

16.
# NaSmAu

An optimized crystal structure of NaSmAu (PBE, Alexandria via LeMat-Bulk).

Computed properties:
total magnetization: 0.00 μB per cell
space group: I4mm
excess energy over the best structure of this formula in the dataset: 0.21 eV per formula unit
formation energy: -317 meV/atom

Cell and atoms, written as POSCAR:
```
NaSmAu
1.0
-1.890 1.890 5.831
1.890 -1.890 5.831
1.890 1.890 -5.831
Na Sm Au
1 1 1
Direct
0.000 0.000 0.000 Na
0.279 0.279 0.000 Sm
0.661 0.661 0.000 Au
```

17.
# NaSm2Au3

An optimized crystal structure of NaSm2Au3 (PBE, Alexandria via LeMat-Bulk).

Computed properties:
total magnetization: 0.00 μB per cell
space group: P4/mmm
excess energy over the best structure of this formula in the dataset: 0.18 eV per formula unit
formation energy: -637 meV/atom

Cell and atoms, written as POSCAR:
```
NaSm2Au3
1.0
3.657 0.000 0.000
0.000 3.657 0.000
0.000 0.000 10.915
Na Sm Au
1 2 3
Direct
0.000 0.000 0.000 Na
0.000 0.000 0.327 Sm
0.000 0.000 0.673 Sm
0.500 0.500 0.177 Au
0.500 0.500 0.500 Au
0.500 0.500 0.823 Au
```

18.
# NaSm2Au3

An optimized crystal structure of NaSm2Au3 (PBE, Alexandria via LeMat-Bulk).

Computed properties:
total magnetization: 0.00 μB per cell
space group: P-3m1
excess energy over the best structure of this formula in the dataset: 0.00 eV per formula unit
formation energy: -667 meV/atom

Cell and atoms, written as POSCAR:
```
NaSm2Au3
1.0
5.130 0.000 0.000
-2.565 4.443 0.000
0.000 0.000 12.481
Na Sm Au
2 4 6
Direct
0.333 0.667 0.169 Na
0.667 0.333 0.831 Na
0.000 0.000 0.000 Sm
0.000 0.000 0.500 Sm
0.333 0.667 0.681 Sm
0.667 0.333 0.319 Sm
0.000 0.000 0.254 Au
0.000 0.000 0.746 Au
0.333 0.667 0.431 Au
0.333 0.667 0.929 Au
0.667 0.333 0.071 Au
0.667 0.333 0.569 Au
```

19.
# NaSn4Au2

An optimized crystal structure of NaSn4Au2 (PBE, Alexandria via LeMat-Bulk).

Computed properties:
total magnetization: 0.00 μB per cell
space group: I-42d
excess energy over the best structure of this formula in the dataset: 0.95 eV per formula unit
formation energy: -82 meV/atom

Cell and atoms, written as POSCAR:
```
NaSn4Au2
1.0
-4.497 4.497 4.414
4.497 -4.497 4.414
4.497 4.497 -4.414
Na Sn Au
2 8 4
Direct
0.000 0.000 0.000 Na
0.750 0.250 0.500 Na
0.157 0.415 0.428 Sn
0.165 0.407 0.928 Sn
0.271 0.843 0.258 Sn
0.479 0.237 0.072 Sn
0.585 0.013 0.742 Sn
0.593 0.521 0.758 Sn
0.763 0.835 0.242 Sn
0.987 0.729 0.572 Sn
0.236 0.125 0.611 Au
0.375 0.764 0.889 Au
0.514 0.625 0.389 Au
0.875 0.486 0.111 Au
```

20.
# NaSnAu

An optimized crystal structure of NaSnAu (PBE, Alexandria via LeMat-Bulk).

Computed properties:
total magnetization: 0.00 μB per cell
space group: P2_1/m
formation energy: -285 meV/atom

Cell and atoms, written as POSCAR:
```
NaSnAu
1.0
5.343 0.000 0.000
0.000 4.629 0.000
-0.866 0.000 6.587
Na Sn Au
2 2 2
Direct
0.242 0.250 0.159 Na
0.758 0.750 0.841 Na
0.174 0.250 0.671 Sn
0.826 0.750 0.329 Sn
0.335 0.750 0.485 Au
0.665 0.250 0.515 Au
```

21.
# Na2SnAu

An optimized crystal structure of Na2SnAu (PBE, Alexandria via LeMat-Bulk).

Computed properties:
total magnetization: 0.00 μB per cell
space group: R-3m
formation energy: -17 meV/atom

Cell and atoms, written as POSCAR:
```
Na2SnAu
1.0
1.619 0.935 11.026
-1.619 0.935 11.026
0.000 -1.870 11.026
Na Sn Au
2 1 1
Direct
0.096 0.096 0.096 Na
0.904 0.904 0.904 Na
0.000 0.000 0.000 Sn
0.500 0.500 0.500 Au
```

22.
# NaSn2Au6

An optimized crystal structure of NaSn2Au6 (PBE, Alexandria via LeMat-Bulk).

Computed properties:
total magnetization: 0.00 μB per cell
space group: C2/m
excess energy over the best structure of this formula in the dataset: 0.18 eV per formula unit
formation energy: -98 meV/atom

Cell and atoms, written as POSCAR:
```
NaSn2Au6
1.0
6.875 -2.892 0.000
6.875 2.892 0.000
-0.189 0.000 5.033
Na Sn Au
1 2 6
Direct
0.000 0.000 0.000 Na
0.363 0.363 0.797 Sn
0.637 0.637 0.203 Sn
0.061 0.563 0.263 Au
0.246 0.754 0.500 Au
0.437 0.939 0.737 Au
0.563 0.061 0.263 Au
0.754 0.246 0.500 Au
0.939 0.437 0.737 Au
```